The following is a GGA-PBE calculation of PmTh2Pt after structural relaxation, from the Alexandria database.

Structure (CIF):
```
data_PmTh2Pt
_symmetry_space_group_name_H-M 'R 3 m'
_symmetry_Int_Tables_number 160
_symmetry_space_group_name_Hall 'R 3 -2"'
_cell_length_a 3.8915
_cell_length_b 3.8915
_cell_length_c 28.4895
_cell_angle_alpha 90.00
_cell_angle_beta 90.00
_cell_angle_gamma 120.00
loop_
_atom_site_label
_atom_site_fract_x
_atom_site_fract_y
_atom_site_fract_z
_atom_site_occupancy
Pm1 0.0000 0.0000 0.0000 1
Th1 0.0000 0.0000 0.2306 1
Th2 0.0000 0.0000 0.4323 1
Pt1 0.0000 0.0000 0.8316 1
```

Calculated values
Formation energy from the elements, eV/atom: -0.420
E above lowest polymorph, meV/atom: 179.9


The following is a GGA-PBE calculation of Sc2TiMo after structural relaxation, from the Alexandria database.

Structure (CIF):
```
data_Sc2TiMo
_symmetry_space_group_name_H-M 'R -3 m'
_symmetry_Int_Tables_number 166
_symmetry_space_group_name_Hall '-R 3 2"'
_cell_length_a 2.9819
_cell_length_b 2.9819
_cell_length_c 31.0290
_cell_angle_alpha 90.00
_cell_angle_beta 90.00
_cell_angle_gamma 120.00
loop_
_atom_site_label
_atom_site_fract_x
_atom_site_fract_y
_atom_site_fract_z
_atom_site_occupancy
Sc1 0.0000 0.0000 0.0919 1
Ti1 0.0000 0.0000 0.0000 1
Mo1 0.0000 0.0000 0.5000 1
```

Calculated values
Formation energy from the elements, eV/atom: 0.412
E above lowest polymorph, meV/atom: 148.9


The following is a GGA-PBE calculation of SiRu2Se after structural relaxation, from the Alexandria database.

Structure (CIF):
```
data_SiRu2Se
_symmetry_space_group_name_H-M 'R -3 m'
_symmetry_Int_Tables_number 166
_symmetry_space_group_name_Hall '-R 3 2"'
_cell_length_a 2.9295
_cell_length_b 2.9295
_cell_length_c 23.2732
_cell_angle_alpha 90.00
_cell_angle_beta 90.00
_cell_angle_gamma 120.00
loop_
_atom_site_label
_atom_site_fract_x
_atom_site_fract_y
_atom_site_fract_z
_atom_site_occupancy
Si1 0.0000 0.0000 0.0000 1
Ru1 0.0000 0.0000 0.2541 1
Se1 0.0000 0.0000 0.5000 1
```

Calculated values
E above lowest polymorph, meV/atom: 88.4
Energy relative to the elements, uncorrected, meV per atom: -92


The following is a GGA-PBE calculation of KNd4Hg5 after structural relaxation, from the Alexandria database.

Structure (CIF):
```
data_KNd4Hg5
_symmetry_space_group_name_H-M 'P 4/m m m'
_symmetry_Int_Tables_number 123
_symmetry_space_group_name_Hall '-P 4 2'
_cell_length_a 3.846
_cell_length_b 3.846
_cell_length_c 20.079
_cell_angle_alpha 90.00
_cell_angle_beta 90.00
_cell_angle_gamma 90.00
loop_
_atom_site_label
_atom_site_fract_x
_atom_site_fract_y
_atom_site_fract_z
_atom_site_occupancy
K1 0.000 0.000 0.000 1
Nd1 0.000 0.000 0.214 1
Nd2 0.000 0.000 0.405 1
Hg1 0.500 0.500 0.125 1
Hg2 0.500 0.500 0.310 1
Hg3 0.500 0.500 0.500 1
```

Calculated values
Formation energy from the elements, eV/atom: -0.413


The following is a GGA-PBE calculation of Tm8Ga3HgTe4 after structural relaxation, from the Alexandria database.

Structure (CIF):
```
data_Tm8Ga3HgTe4
_symmetry_space_group_name_H-M 'R -3 m'
_symmetry_Int_Tables_number 166
_symmetry_space_group_name_Hall '-R 3 2"'
_cell_length_a 8.1318
_cell_length_b 8.1318
_cell_length_c 22.5600
_cell_angle_alpha 90.00
_cell_angle_beta 90.00
_cell_angle_gamma 120.00
loop_
_atom_site_label
_atom_site_fract_x
_atom_site_fract_y
_atom_site_fract_z
_atom_site_occupancy
Tm1 0.0000 0.0000 0.2437 1
Tm2 0.0057 0.5029 0.7545 1
Ga1 0.0000 0.5000 0.5000 1
Hg1 0.0000 0.0000 0.5000 1
Te1 0.0000 0.0000 0.0000 1
Te2 0.0000 0.5000 0.0000 1
```

Calculated values
Energy relative to the elements, uncorrected, meV per atom: -858


The following is a GGA-PBE calculation of Li4MgPd3O8 after structural relaxation, from the Alexandria database.

Structure (CIF):
```
data_Li4MgPd3O8
_symmetry_space_group_name_H-M 'C 1 2/m 1'
_symmetry_Int_Tables_number 12
_cell_length_a 10.296
_cell_length_b 6.164
_cell_length_c 6.144
_cell_angle_alpha 90.00
_cell_angle_beta 124.82
_cell_angle_gamma 90.00
loop_
_symmetry_equiv_pos_as_xyz
'x,y,z'
'-x,-y,-z'
'-x,y,-z'
'x,-y,z'
'x+1/2,y+1/2,z'
'-x+1/2,-y+1/2,-z'
'-x+1/2,y+1/2,-z'
'x+1/2,-y+1/2,z'
loop_
_atom_site_label
_atom_site_fract_x
_atom_site_fract_y
_atom_site_fract_z
_atom_site_occupancy
Li1 0.000 0.000 0.000 1
Li2 0.000 0.500 0.000 1
Li3 0.250 0.250 0.500 1
Mg1 0.000 0.000 0.500 1
Pd1 0.000 0.500 0.500 1
Pd2 0.250 0.250 0.000 1
O1 0.006 0.257 0.737 1
O2 0.241 0.500 0.709 1
O3 0.248 0.000 0.775 1
```

Calculated values
Energy relative to the elements, uncorrected, meV per atom: -1271


The following is a GGA-PBE calculation of TiGaPOs2 after structural relaxation, from the Alexandria database.

Structure (CIF):
```
data_TiGaPOs2
_symmetry_space_group_name_H-M 'P 4/m m m'
_symmetry_Int_Tables_number 123
_symmetry_space_group_name_Hall '-P 4 2'
_cell_length_a 4.644
_cell_length_b 4.644
_cell_length_c 4.443
_cell_angle_alpha 90.00
_cell_angle_beta 90.00
_cell_angle_gamma 90.00
loop_
_atom_site_label
_atom_site_fract_x
_atom_site_fract_y
_atom_site_fract_z
_atom_site_occupancy
Ti1 0.000 0.000 0.000 1
Ga1 0.500 0.500 0.500 1
P1 0.000 0.000 0.500 1
Os1 0.000 0.500 0.000 1
```

Calculated values
Formation energy from the elements, eV/atom: 1.398


The following is a GGA-PBE calculation of RbTeNO2 after structural relaxation, from the Alexandria database.

Structure (CIF):
```
data_RbTeNO2
_symmetry_space_group_name_H-M 'P 4/m m m'
_symmetry_Int_Tables_number 123
_symmetry_space_group_name_Hall '-P 4 2'
_cell_length_a 4.270
_cell_length_b 4.270
_cell_length_c 5.224
_cell_angle_alpha 90.00
_cell_angle_beta 90.00
_cell_angle_gamma 90.00
loop_
_atom_site_label
_atom_site_fract_x
_atom_site_fract_y
_atom_site_fract_z
_atom_site_occupancy
Rb1 0.000 0.000 0.000 1
Te1 0.500 0.500 0.500 1
N1 0.000 0.000 0.500 1
O1 0.000 0.500 0.000 1
```

Calculated values
Energy relative to the elements, uncorrected, meV per atom: 1733


The following is a GGA-PBE calculation of Li2EuZr after structural relaxation, from the Alexandria database.

Structure (CIF):
```
data_Li2EuZr
_symmetry_space_group_name_H-M 'R -3 m'
_symmetry_Int_Tables_number 166
_symmetry_space_group_name_Hall '-R 3 2"'
_cell_length_a 3.1488
_cell_length_b 3.1488
_cell_length_c 36.2214
_cell_angle_alpha 90.00
_cell_angle_beta 90.00
_cell_angle_gamma 120.00
loop_
_atom_site_label
_atom_site_fract_x
_atom_site_fract_y
_atom_site_fract_z
_atom_site_occupancy
Li1 0.0000 0.0000 0.0817 1
Eu1 0.0000 0.0000 0.5000 1
Zr1 0.0000 0.0000 0.0000 1
```

Calculated values
Formation energy from the elements, eV/atom: 0.422


The following is a GGA-PBE calculation of AlSi2Ir after structural relaxation, from the Alexandria database.

Structure (CIF):
```
data_AlSi2Ir
_symmetry_space_group_name_H-M 'P 4 m m'
_symmetry_Int_Tables_number 99
_cell_length_a 2.843
_cell_length_b 2.843
_cell_length_c 7.181
_cell_angle_alpha 90.00
_cell_angle_beta 90.00
_cell_angle_gamma 90.00
loop_
_symmetry_equiv_pos_as_xyz
'x,y,z'
'-y,x,z'
'-x,-y,z'
'y,-x,z'
'-x,y,z'
'y,x,z'
'x,-y,z'
'-y,-x,z'
loop_
_atom_site_label
_atom_site_fract_x
_atom_site_fract_y
_atom_site_fract_z
_atom_site_occupancy
Al1 0.000 0.000 0.000 1
Si1 0.000 0.000 0.460 1
Si2 0.500 0.500 0.727 1
Ir1 0.500 0.500 0.245 1
```

Calculated values
E above lowest polymorph, meV/atom: 30.4
Energy relative to the elements, uncorrected, meV per atom: -171


The following is a GGA-PBE calculation of BeBTeN2 after structural relaxation, from the Alexandria database.

Structure (CIF):
```
data_BeBTeN2
_symmetry_space_group_name_H-M 'P 4/m m m'
_symmetry_Int_Tables_number 123
_symmetry_space_group_name_Hall '-P 4 2'
_cell_length_a 3.277
_cell_length_b 3.277
_cell_length_c 7.138
_cell_angle_alpha 90.00
_cell_angle_beta 90.00
_cell_angle_gamma 90.00
loop_
_atom_site_label
_atom_site_fract_x
_atom_site_fract_y
_atom_site_fract_z
_atom_site_occupancy
Be1 0.000 0.000 0.000 1
B1 0.500 0.500 0.500 1
Te1 0.000 0.000 0.500 1
N1 0.000 0.500 0.000 1
```

Calculated values
E above lowest polymorph, meV/atom: 227.5
Energy relative to the elements, uncorrected, meV per atom: 1442


The following is a GGA-PBE calculation of AlZn2Sb2 after structural relaxation, from the Alexandria database.

Structure (CIF):
```
data_AlZn2Sb2
_symmetry_space_group_name_H-M 'P 4/m b m'
_symmetry_Int_Tables_number 127
_symmetry_space_group_name_Hall '-P 4 2ab'
_cell_length_a 8.191
_cell_length_b 8.191
_cell_length_c 3.358
_cell_angle_alpha 90.00
_cell_angle_beta 90.00
_cell_angle_gamma 90.00
loop_
_atom_site_label
_atom_site_fract_x
_atom_site_fract_y
_atom_site_fract_z
_atom_site_occupancy
Al1 0.000 0.000 0.000 1
Zn1 0.112 0.388 0.500 1
Sb1 0.191 0.691 0.000 1
```

Calculated values
E above lowest polymorph, meV/atom: 0.0
Energy relative to the elements, uncorrected, meV per atom: 224


no.,E_tot (eV per atom)
1,-6.83
2,-7.44
3,-6.96
4,-2.58
5,-4.47
6,-5.30
7,-6.36
8,-2.74
9,-5.24
10,-6.03
11,-4.60
12,-2.68